#A
Material: YMoSe3
Method: DFT, PBE-GGA
State: optimized geometry

The structure in extended XYZ format:
```
5
Lattice="-1.383 5.200 0.538 -2.861 -1.219 4.424 4.375 0.847 3.063" Properties=species:S:1:pos:R:3 pbc="T T T"
Se 2.187 0.424 1.531
Y 0.000 0.000 0.000
Se -1.431 -0.609 2.212
Mo 0.065 2.414 4.012
Se -0.692 2.600 0.269
```

Computed properties:
Crystal system = cubic
Total magnetization = 0.60 μB/atom

---

#B
Material: YMoSe3
Method: DFT, PBE-GGA
State: optimized geometry

The structure in extended XYZ format:
```
5
Lattice="4.964 0.000 0.000 0.000 4.964 0.000 0.000 0.000 4.964" Properties=species:S:1:pos:R:3 pbc="T T T"
Se 2.482 0.000 0.000
Mo 0.000 0.000 0.000
Se 0.000 0.000 2.482
Se 0.000 2.482 0.000
Y 2.482 2.482 2.482
```

Computed properties:
Crystal system = cubic
Total magnetization = 0.36 μB/atom

---

Last place for stability: #A

---

#A
Material: ZnMoSe
Method: DFT, PBE-GGA
State: optimized geometry

The structure in extended XYZ format:
```
3
Lattice="-3.649 -1.870 1.275 -0.918 -4.000 -1.264 0.116 -3.226 2.831" Properties=species:S:1:pos:R:3 pbc="T T T"
Mo -3.338 -6.822 2.132
Zn -2.225 -4.548 1.421
Se 0.000 0.000 0.000
```

Computed properties:
Crystal system = cubic
Total magnetization = 0.00 μB/atom

---

#B
Material: ZnMoSe
Method: DFT, PBE-GGA
State: optimized geometry

The structure in extended XYZ format:
```
3
Lattice="4.681 0.000 0.000 -2.341 4.054 0.000 0.000 0.000 2.613" Properties=species:S:1:pos:R:3 pbc="T T T"
Se 2.341 1.351 0.431
Zn 0.000 2.703 1.747
Mo 0.000 0.000 0.435
```

Computed properties:
Crystal system = trigonal
Total magnetization = 0.00 μB/atom

---

#C
Material: ZnMoSe
Method: DFT, PBE-GGA
State: optimized geometry

The structure in extended XYZ format:
```
6
Lattice="3.143 0.000 0.000 -1.572 2.718 0.000 0.000 0.000 12.711" Properties=species:S:1:pos:R:3 pbc="T T T"
Se 1.571 1.553 8.123
Mo 0.000 2.458 6.356
Zn 0.000 0.560 10.711
Mo 0.000 2.377 0.000
Se 1.571 1.553 4.588
Zn 0.000 0.560 2.000
```

Computed properties:
Crystal system = orthorhombic
Total magnetization = 0.00 μB/atom

---

#D
Material: ZnMoSe
Method: DFT, PBE-GGA
State: optimized geometry

The structure in extended XYZ format:
```
3
Lattice="-2.414 -6.434 -2.447 -1.054 -6.958 0.149 -2.972 0.080 0.161" Properties=species:S:1:pos:R:3 pbc="T T T"
Se -3.149 -4.717 -0.714
Mo -3.466 -13.333 -2.287
Zn -3.293 -8.652 -1.433
```

Computed properties:
Crystal system = orthorhombic
Total magnetization = 0.00 μB/atom

---

Last place for stability: #A

---

#A
Material: ZnMoSe
Method: DFT, PBE-GGA
State: optimized geometry

The structure in extended XYZ format:
```
3
Lattice="-0.874 3.770 -4.316 -2.203 -0.315 -5.352 -0.471 -1.276 5.635" Properties=species:S:1:pos:R:3 pbc="T T T"
Se -1.120 1.257 -3.517
Zn -1.994 2.239 -6.266
Mo -3.040 3.414 -9.552
```

Computed properties:
Crystal system = tetragonal
Total magnetization = 0.00 μB/atom

---

#B
Material: ZnMoSe
Method: DFT, PBE-GGA
State: optimized geometry

The structure in extended XYZ format:
```
3
Lattice="4.241 0.000 0.000 2.121 3.673 0.000 2.121 1.224 3.463" Properties=species:S:1:pos:R:3 pbc="T T T"
Zn 0.000 0.000 0.000
Mo 4.241 2.449 1.731
Se 6.362 3.673 2.597
```

Computed properties:
Crystal system = cubic
Total magnetization = 0.00 μB/atom

---

#C
Material: ZnMoSe
Method: DFT, PBE-GGA
State: optimized geometry

The structure in extended XYZ format:
```
3
Lattice="3.131 0.000 0.000 -1.566 2.712 0.000 0.000 0.000 6.445" Properties=species:S:1:pos:R:3 pbc="T T T"
Zn 1.566 0.904 4.500
Se 0.000 1.808 1.829
Mo 0.000 0.000 0.116
```

Computed properties:
Crystal system = trigonal
Total magnetization = 0.00 μB/atom

---

Last place for stability: #B

---

#A
Material: SiMo3
Method: DFT, PBE-GGA
State: optimized geometry

The structure in extended XYZ format:
```
4
Lattice="2.867 0.000 0.000 0.000 4.128 0.000 0.000 0.000 5.143" Properties=species:S:1:pos:R:3 pbc="T T T"
Mo 1.433 2.064 1.243
Si 0.000 0.000 0.000
Mo 0.000 0.000 2.571
Mo 1.433 2.064 3.900
```

Computed properties:
Crystal system = orthorhombic
Total magnetization = 0.00 μB/atom

---

#B
Material: SiMo3
Method: DFT, PBE-GGA
State: optimized geometry

The structure in extended XYZ format:
```
8
Lattice="-1.778 1.493 -4.002 -2.651 -4.084 -0.345 -3.991 2.367 2.656" Properties=species:S:1:pos:R:3 pbc="T T T"
Mo -1.417 -0.108 0.589
Mo -6.064 -0.893 -0.313
Mo -3.733 -1.492 1.102
Si -1.776 -2.735 -0.231
Mo -4.119 -2.046 -1.608
Mo -3.463 1.105 1.951
Si -3.761 0.581 -0.787
Mo -1.803 -0.662 -2.120
```

Computed properties:
Crystal system = orthorhombic
Total magnetization = 0.00 μB/atom

---

#C
Material: SiMo3
Method: DFT, PBE-GGA
State: optimized geometry

The structure in extended XYZ format:
```
4
Lattice="4.360 0.000 0.000 0.000 2.747 -0.004 0.000 1.393 5.046" Properties=species:S:1:pos:R:3 pbc="T T T"
Mo 0.000 2.131 2.481
Mo 2.180 3.105 3.781
Si 2.180 1.035 1.260
Mo 0.000 2.686 0.036
```

Computed properties:
Crystal system = monoclinic
Total magnetization = 0.00 μB/atom

---

#D
Material: SiMo3
Method: DFT, PBE-GGA
State: optimized geometry

The structure in extended XYZ format:
```
16
Lattice="-0.880 3.144 -4.365 -1.674 -5.187 0.004 -8.231 2.659 3.574" Properties=species:S:1:pos:R:3 pbc="T T T"
Si 0.000 0.000 0.000
Si -4.116 1.330 1.787
Mo -0.440 1.572 -2.182
Mo -6.871 0.802 1.962
Si -7.318 2.362 -0.228
Mo -3.068 2.435 -2.750
Mo -4.953 -1.264 1.789
Mo -3.914 -0.186 -2.748
Mo -1.277 -1.022 -2.180
Mo -7.717 -1.819 1.964
Mo -4.555 2.902 -0.395
Mo -2.624 0.846 -0.545
Mo -5.392 0.308 -0.393
Mo -0.837 -2.594 0.002
Si -3.467 -1.745 -0.559
Mo -8.161 -0.230 -0.241
```

Computed properties:
Crystal system = hexagonal
Total magnetization = 0.00 μB/atom

---

Last place for stability: #A

---

#A
Material: SiMo3
Method: DFT, PBE-GGA
State: optimized geometry

The structure in extended XYZ format:
```
4
Lattice="5.095 -0.001 -0.002 -2.296 4.548 -0.002 -2.296 -3.731 2.600" Properties=species:S:1:pos:R:3 pbc="T T T"
Mo 1.399 -1.866 1.299
Si -2.296 0.408 1.299
Mo 1.399 2.274 -0.002
Mo 0.000 0.000 0.000
```

Computed properties:
Crystal system = trigonal
Total magnetization = 0.00 μB/atom

---

#B
Material: SiMo3
Method: DFT, PBE-GGA
State: optimized geometry

The structure in extended XYZ format:
```
8
Lattice="-2.537 -2.164 3.608 -1.281 -3.617 -3.069 4.008 -2.525 1.303" Properties=species:S:1:pos:R:3 pbc="T T T"
Mo -2.229 -3.794 -0.497
Mo -1.589 -1.986 1.037
Mo 1.370 -1.803 1.554
Mo 0.362 -2.440 -1.209
Mo 0.101 -2.885 3.358
Mo 2.365 -3.702 -0.557
Si 0.095 -4.153 0.922
Si 0.000 0.000 0.000
```

Computed properties:
Crystal system = cubic
Total magnetization = 0.00 μB/atom

---

#C
Material: SiMo3
Method: DFT, PBE-GGA
State: optimized geometry

The structure in extended XYZ format:
```
16
Lattice="-0.358 -3.594 -3.540 -0.104 -4.297 4.373 -7.874 0.493 0.296" Properties=species:S:1:pos:R:3 pbc="T T T"
Mo -3.737 -1.621 0.975
Mo -4.600 -5.777 0.155
Si -6.217 -5.676 2.018
Mo -5.956 -0.229 -0.123
Mo -3.864 -4.523 2.420
Mo -2.244 -4.177 -0.103
Mo -6.092 -3.221 1.233
Si -2.120 -1.722 -0.889
Mo -7.968 -5.566 0.281
Mo -0.496 -4.734 2.293
Si -6.268 -4.568 -1.193
Mo -7.841 -2.664 -1.163
Si -2.069 -2.831 2.322
Mo -2.381 -7.169 1.253
Mo -0.369 -1.832 0.848
Mo -4.473 -2.875 -1.290
```

Computed properties:
Crystal system = orthorhombic
Total magnetization = 0.00 μB/atom

---

#D
Material: SiMo3
Method: DFT, PBE-GGA
State: optimized geometry

The structure in extended XYZ format:
```
4
Lattice="-0.297 -2.687 -1.716 1.850 -2.312 3.300 -3.844 -0.657 1.695" Properties=species:S:1:pos:R:3 pbc="T T T"
Mo -3.724 -0.636 1.642
Mo -2.568 -3.071 2.266
Mo -1.860 -1.636 -0.104
Si -0.547 -1.408 2.299
```

Computed properties:
Crystal system = orthorhombic
Total magnetization = 0.00 μB/atom

---

Last place for stability: #A

---

#A
Material: SiMo3
Method: DFT, PBE-GGA
State: optimized geometry

The structure in extended XYZ format:
```
4
Lattice="3.254 0.000 0.000 0.000 3.254 0.000 0.000 0.000 5.695" Properties=species:S:1:pos:R:3 pbc="T T T"
Mo 0.000 0.000 2.936
Mo 0.000 0.000 5.607
Si 1.627 1.627 4.272
Mo 1.627 1.627 1.424
```

Computed properties:
Crystal system = tetragonal
Total magnetization = 0.00 μB/atom

---

#B
Material: SiMo3
Method: DFT, PBE-GGA
State: optimized geometry

The structure in extended XYZ format:
```
4
Lattice="8.895 0.025 0.014 8.432 2.832 0.014 8.432 1.390 2.467" Properties=species:S:1:pos:R:3 pbc="T T T"
Mo 19.223 3.169 1.863
Si 0.000 0.000 0.000
Mo 6.537 1.078 0.633
Mo 12.880 2.123 1.248
```

Computed properties:
Crystal system = trigonal
Total magnetization = 0.00 μB/atom

---

#C
Material: SiMo3
Method: DFT, PBE-GGA
State: optimized geometry

The structure in extended XYZ format:
```
4
Lattice="5.148 0.003 -0.002 2.414 4.548 0.002 -3.400 -2.908 2.547" Properties=species:S:1:pos:R:3 pbc="T T T"
Si 0.874 -1.453 1.273
Mo -0.493 0.820 1.274
Mo 5.688 3.423 0.000
Mo 1.874 1.128 0.000
```

Computed properties:
Crystal system = orthorhombic
Total magnetization = 0.00 μB/atom

---

#D
Material: SiMo3
Method: DFT, PBE-GGA
State: optimized geometry

The structure in extended XYZ format:
```
4
Lattice="-1.694 3.001 -1.871 1.079 -1.537 -3.442 -3.368 -2.002 -0.162" Properties=species:S:1:pos:R:3 pbc="T T T"
Mo -0.308 0.732 -2.657
Mo -2.531 0.499 -1.016
Si 0.000 0.000 0.000
Mo -1.144 -1.770 -1.802
```

Computed properties:
Crystal system = cubic
Total magnetization = 0.00 μB/atom

---

Last place for stability: #B

---

#A
Material: SiMo3
Method: DFT, PBE-GGA
State: optimized geometry

The structure in extended XYZ format:
```
4
Lattice="2.768 -0.003 0.000 -0.879 2.625 0.000 0.000 0.000 8.356" Properties=species:S:1:pos:R:3 pbc="T T T"
Mo 0.000 0.000 0.109
Mo 0.000 0.000 4.069
Si 0.945 1.311 2.089
Mo 0.945 1.311 6.267
```

Computed properties:
Crystal system = orthorhombic
Total magnetization = 0.00 μB/atom

---

#B
Material: SiMo3
Method: DFT, PBE-GGA
State: optimized geometry

The structure in extended XYZ format:
```
4
Lattice="-0.903 2.553 1.167 -1.948 -1.806 -1.281 -1.261 -3.723 7.170" Properties=species:S:1:pos:R:3 pbc="T T T"
Mo -1.566 0.169 2.144
Si -2.197 -1.692 5.729
Mo -0.647 -1.910 3.678
Mo -1.245 -3.675 7.077
```

Computed properties:
Crystal system = hexagonal
Total magnetization = 0.00 μB/atom

---

#C
Material: SiMo3
Method: DFT, PBE-GGA
State: optimized geometry

The structure in extended XYZ format:
```
8
Lattice="2.712 -4.697 0.000 2.712 4.697 0.000 0.000 0.000 4.719" Properties=species:S:1:pos:R:3 pbc="T T T"
Mo 4.060 -0.787 1.180
Mo 2.712 -3.122 1.180
Si 2.712 -1.566 3.540
Mo 1.364 -0.787 1.180
Mo 1.364 0.787 3.540
Mo 2.712 3.122 3.540
Si 2.712 1.566 1.180
Mo 4.060 0.787 3.540
```

Computed properties:
Crystal system = hexagonal
Total magnetization = 0.00 μB/atom

---

#D
Material: SiMo3
Method: DFT, PBE-GGA
State: optimized geometry

The structure in extended XYZ format:
```
8
Lattice="-1.960 3.606 -3.322 -2.269 -4.397 -1.843 -3.442 0.636 2.721" Properties=species:S:1:pos:R:3 pbc="T T T"
Si -2.268 -0.104 -1.038
Mo -3.032 0.393 1.491
Si -5.404 -0.051 -1.406
Mo -4.284 -1.643 0.383
Mo -4.640 -0.548 -3.935
Mo -3.528 -2.141 -2.156
Mo -4.144 1.986 -0.288
Mo -3.388 1.487 -2.827
```

Computed properties:
Crystal system = orthorhombic
Total magnetization = 0.00 μB/atom

---

Last place for stability: #B

---

#A
Material: SiMo3
Method: DFT, PBE-GGA
State: optimized geometry

The structure in extended XYZ format:
```
8
Lattice="-1.625 5.174 6.997 -2.873 7.958 2.606 -0.251 -7.506 -4.687" Properties=species:S:1:pos:R:3 pbc="T T T"
Mo -2.687 3.509 1.360
Mo -2.063 2.117 3.556
Mo -0.551 1.608 1.176
Si -1.688 4.929 3.604
Mo -3.948 11.524 8.427
Mo -0.938 -1.166 1.155
Mo -1.562 0.226 -1.040
Si -2.810 8.203 5.999
```

Computed properties:
Crystal system = tetragonal
Total magnetization = 0.00 μB/atom

---

#B
Material: SiMo3
Method: DFT, PBE-GGA
State: optimized geometry

The structure in extended XYZ format:
```
4
Lattice="4.388 0.000 0.000 2.194 3.800 0.000 2.194 1.267 3.583" Properties=species:S:1:pos:R:3 pbc="T T T"
Mo 4.388 2.534 1.791
Mo 0.000 0.000 0.000
Si 2.194 1.267 0.896
Mo 6.582 3.800 2.687
```

Computed properties:
Crystal system = cubic
Total magnetization = 0.00 μB/atom

---

Last place for stability: #A